1.
# TiSiPd5

A geometry-optimized TiSiPd5 structure (PBE-GGA, Alexandria via LeMat-Bulk).

Computed properties:
**Relative energy among the computed polymorphs**: 0.0 kJ per mole of atoms
**N(E_F)**: 2.06 states/eV per cell
**Energy relative to the elements, uncorrected**: -673 meV per atom
**VASP energy**: -6.285 eV/atom

```
data_TiSiPd5
_chemical_formula_sum 'Ti1 Si1 Pd5'
_cell_length_a 3.965
_cell_length_b 3.965
_cell_length_c 6.825
_cell_angle_alpha 90.00
_cell_angle_beta 90.00
_cell_angle_gamma 90.00
_symmetry_space_group_name_H-M 'P 4/m m m'
_symmetry_Int_Tables_number 123
_symmetry_space_group_name_Hall '-P 4 2'
loop_
_atom_site_label
_atom_site_fract_x
_atom_site_fract_y
_atom_site_fract_z
Ti1 0.000 0.000 0.000
Si1 0.500 0.500 0.500
Pd1 0.000 0.500 0.286
Pd2 0.500 0.500 0.000
```


2.
# Ti2SiPd6

A geometry-optimized Ti2SiPd6 structure (PBE-GGA, Alexandria via LeMat-Bulk).

Computed properties:
**N(E_F)**: 7.53 states/eV per cell
**Energy relative to the elements, uncorrected**: -412 meV per atom
**VASP energy**: -6.231 eV/atom

```
data_Ti2SiPd6
_chemical_formula_sum 'Ti4 Si2 Pd12'
_cell_length_a 3.986
_cell_length_b 6.332
_cell_length_c 12.148
_cell_angle_alpha 90.00
_cell_angle_beta 90.00
_cell_angle_gamma 90.00
_symmetry_space_group_name_H-M 'I m m m'
_symmetry_Int_Tables_number 71
_symmetry_space_group_name_Hall '-I 2 2'
loop_
_atom_site_label
_atom_site_fract_x
_atom_site_fract_y
_atom_site_fract_z
Ti1 0.000 0.000 0.161
Si1 0.000 0.000 0.500
Pd1 0.000 0.233 0.337
Pd2 0.000 0.272 0.000
```


3.
# TiZnSi2Pd

A geometry-optimized TiZnSi2Pd structure (PBE-GGA, Alexandria via LeMat-Bulk).

Computed properties:
**N(E_F)**: 3.93 states/eV per cell
**Energy relative to the elements, uncorrected**: 801 meV per atom
**VASP energy**: -4.241 eV/atom

```
data_TiZnSi2Pd
_chemical_formula_sum 'Ti1 Zn1 Si2 Pd1'
_cell_length_a 4.439
_cell_length_b 4.439
_cell_length_c 4.685
_cell_angle_alpha 90.00
_cell_angle_beta 90.00
_cell_angle_gamma 90.00
_symmetry_space_group_name_H-M 'P 4/m m m'
_symmetry_Int_Tables_number 123
_symmetry_space_group_name_Hall '-P 4 2'
loop_
_atom_site_label
_atom_site_fract_x
_atom_site_fract_y
_atom_site_fract_z
Ti1 0.000 0.000 0.000
Zn1 0.000 0.000 0.500
Si1 0.000 0.500 0.500
Pd1 0.500 0.500 0.000
```


4.
# TlSi3Pd

A geometry-optimized TlSi3Pd structure (PBE-GGA, Alexandria via LeMat-Bulk).

Computed properties:
**Relative energy among the computed polymorphs**: 0.0 kJ per mole of atoms
**N(E_F)**: 3.91 states/eV per cell
**Energy relative to the elements, uncorrected**: 530 meV per atom
**VASP energy**: -4.236 eV/atom

```
data_TlSi3Pd
_chemical_formula_sum 'Tl1 Si3 Pd1'
_cell_length_a 4.795
_cell_length_b 4.795
_cell_length_c 4.795
_cell_angle_alpha 90.00
_cell_angle_beta 90.00
_cell_angle_gamma 90.00
_symmetry_space_group_name_H-M 'P m -3 m'
_symmetry_Int_Tables_number 221
_symmetry_space_group_name_Hall '-P 4 2 3'
loop_
_atom_site_label
_atom_site_fract_x
_atom_site_fract_y
_atom_site_fract_z
Tl1 0.000 0.000 0.000
Si1 0.000 0.500 0.500
Pd1 0.500 0.500 0.500
```


5.
# Tl3SiPd12

A geometry-optimized Tl3SiPd12 structure (PBE-GGA, Alexandria via LeMat-Bulk).

Computed properties:
**N(E_F)**: 16.32 states/eV per cell
**Energy relative to the elements, uncorrected**: -238 meV per atom
**VASP energy**: -4.915 eV/atom

```
data_Tl3SiPd12
_chemical_formula_sum 'Tl3 Si1 Pd12'
_cell_length_a 4.043
_cell_length_b 4.043
_cell_length_c 16.087
_cell_angle_alpha 90.00
_cell_angle_beta 90.00
_cell_angle_gamma 90.00
_symmetry_space_group_name_H-M 'P 4/m m m'
_symmetry_Int_Tables_number 123
_symmetry_space_group_name_Hall '-P 4 2'
loop_
_atom_site_label
_atom_site_fract_x
_atom_site_fract_y
_atom_site_fract_z
Tl1 0.000 0.000 0.000
Tl2 0.000 0.000 0.257
Si1 0.000 0.000 0.500
Pd1 0.000 0.500 0.129
Pd2 0.000 0.500 0.390
Pd3 0.500 0.500 0.000
Pd4 0.500 0.500 0.261
Pd5 0.500 0.500 0.500
```


6.
# Tl2SiPd8

A geometry-optimized Tl2SiPd8 structure (PBE-GGA, Alexandria via LeMat-Bulk).

Computed properties:
**N(E_F)**: 6.88 states/eV per cell
**Energy relative to the elements, uncorrected**: -296 meV per atom
**VASP energy**: -4.996 eV/atom

```
data_Tl2SiPd8
_chemical_formula_sum 'Tl4 Si2 Pd16'
_cell_length_a 14.900
_cell_length_b 4.585
_cell_length_c 5.891
_cell_angle_alpha 90.00
_cell_angle_beta 113.10
_cell_angle_gamma 90.00
_symmetry_space_group_name_H-M 'C 1 2/m 1'
_symmetry_Int_Tables_number 12
loop_
_symmetry_equiv_pos_as_xyz
'x,y,z'
'-x,-y,-z'
'-x,y,-z'
'x,-y,z'
'x+1/2,y+1/2,z'
'-x+1/2,-y+1/2,-z'
'-x+1/2,y+1/2,-z'
'x+1/2,-y+1/2,z'
loop_
_atom_site_label
_atom_site_fract_x
_atom_site_fract_y
_atom_site_fract_z
Tl1 0.183 0.000 0.183
Si1 0.000 0.500 0.500
Pd1 0.000 0.000 0.260
Pd2 0.131 0.500 0.885
Pd3 0.132 0.500 0.378
Pd4 0.183 0.000 0.683
```


7.
# TlSiPd4

A geometry-optimized TlSiPd4 structure (PBE-GGA, Alexandria via LeMat-Bulk).

Computed properties:
**Relative energy among the computed polymorphs**: 0.0 kJ per mole of atoms
**N(E_F)**: 7.92 states/eV per cell
**Energy relative to the elements, uncorrected**: -448 meV per atom
**VASP energy**: -5.208 eV/atom

```
data_TlSiPd4
_chemical_formula_sum 'Tl4 Si4 Pd16'
_cell_length_a 6.907
_cell_length_b 3.523
_cell_length_c 16.406
_cell_angle_alpha 90.00
_cell_angle_beta 90.00
_cell_angle_gamma 90.00
_symmetry_space_group_name_H-M 'P n m a'
_symmetry_Int_Tables_number 62
loop_
_symmetry_equiv_pos_as_xyz
'x,y,z'
'-x,-y,-z'
'-x+1/2,-y,z+1/2'
'x+1/2,y,-z+1/2'
'x+1/2,-y+1/2,-z+1/2'
'-x+1/2,y+1/2,z+1/2'
'-x,y+1/2,-z'
'x,-y+1/2,z'
loop_
_atom_site_label
_atom_site_fract_x
_atom_site_fract_y
_atom_site_fract_z
Tl1 0.249 0.250 0.194
Si1 0.248 0.750 0.447
Pd1 0.004 0.750 0.563
Pd2 0.073 0.750 0.304
Pd3 0.124 0.750 0.861
Pd4 0.136 0.750 0.043
```


8.
# TlSiPd2

A geometry-optimized TlSiPd2 structure (PBE-GGA, Alexandria via LeMat-Bulk).

Computed properties:
**Relative energy among the computed polymorphs**: 0.0 kJ per mole of atoms
**N(E_F)**: 6.26 states/eV per cell
**Energy relative to the elements, uncorrected**: -134 meV per atom
**VASP energy**: -4.678 eV/atom

```
data_TlSiPd2
_chemical_formula_sum 'Tl4 Si4 Pd8'
_cell_length_a 7.261
_cell_length_b 7.261
_cell_length_c 5.753
_cell_angle_alpha 90.00
_cell_angle_beta 90.00
_cell_angle_gamma 90.00
_symmetry_space_group_name_H-M 'I -4 2 d'
_symmetry_Int_Tables_number 122
_symmetry_space_group_name_Hall 'I -4 2bw'
loop_
_atom_site_label
_atom_site_fract_x
_atom_site_fract_y
_atom_site_fract_z
Tl1 0.000 0.000 0.000
Si1 0.000 0.000 0.500
Pd1 0.179 0.250 0.625
```


9.
# TlSiPd

A geometry-optimized TlSiPd structure (PBE-GGA, Alexandria via LeMat-Bulk).

Computed properties:
**N(E_F)**: 5.33 states/eV per cell
**Energy relative to the elements, uncorrected**: -8 meV per atom
**VASP energy**: -4.336 eV/atom

```
data_TlSiPd
_chemical_formula_sum 'Tl4 Si4 Pd4'
_cell_length_a 5.798
_cell_length_b 5.996
_cell_length_c 6.564
_cell_angle_alpha 90.00
_cell_angle_beta 90.00
_cell_angle_gamma 90.00
_symmetry_space_group_name_H-M 'I m m a'
_symmetry_Int_Tables_number 74
_symmetry_space_group_name_Hall '-I 2b 2'
loop_
_atom_site_label
_atom_site_fract_x
_atom_site_fract_y
_atom_site_fract_z
Tl1 0.000 0.250 0.122
Si1 0.000 0.000 0.500
Pd1 0.250 0.250 0.750
```


10.
# TlSiPd2

A geometry-optimized TlSiPd2 structure (PBE-GGA, Alexandria via LeMat-Bulk).

Computed properties:
**Relative energy among the computed polymorphs**: 7.9 kJ per mole of atoms
**N(E_F)**: 6.63 states/eV per cell
**Energy relative to the elements, uncorrected**: -53 meV per atom
**VASP energy**: -4.596 eV/atom

```
data_TlSiPd2
_chemical_formula_sum 'Tl4 Si4 Pd8'
_cell_length_a 6.488
_cell_length_b 6.488
_cell_length_c 6.488
_cell_angle_alpha 90.00
_cell_angle_beta 90.00
_cell_angle_gamma 90.00
_symmetry_space_group_name_H-M 'F m -3 m'
_symmetry_Int_Tables_number 225
_symmetry_space_group_name_Hall '-F 4 2 3'
loop_
_atom_site_label
_atom_site_fract_x
_atom_site_fract_y
_atom_site_fract_z
Tl1 0.000 0.000 0.000
Si1 0.000 0.000 0.500
Pd1 0.250 0.250 0.250
```